(1)
This record from Alexandria via LeMat-Bulk describes crystalline Cu3H at its relaxed geometry. The functional is PBE.

Structure (CIF):
```
data_Cu3H
_chemical_formula_sum 'Cu6 H2'
_cell_length_a 2.479
_cell_length_b 7.209
_cell_length_c 4.377
_cell_angle_alpha 90.00
_cell_angle_beta 90.00
_cell_angle_gamma 90.00
_space_group_name_H-M_alt 'I m m 2'
_space_group_IT_number 44
loop_
_space_group_symop_operation_xyz
'x,y,z'
'-x,-y,z'
'-x,y,z'
'x,-y,z'
'x+1/2,y+1/2,z+1/2'
'-x+1/2,-y+1/2,z+1/2'
'-x+1/2,y+1/2,z+1/2'
'x+1/2,-y+1/2,z+1/2'
loop_
_atom_site_label
_atom_site_type_symbol
_atom_site_fract_x
_atom_site_fract_y
_atom_site_fract_z
Cu1 Cu 0.000 0.000 0.000
Cu2 Cu 0.000 0.184 0.499
H1 H 0.000 0.500 0.114
```

excess energy over the best structure of this formula in the dataset = 0.00 eV/f.u.



(2)
This record from Alexandria via LeMat-Bulk describes crystalline CuH5 at its relaxed geometry. The functional is PBE.

Structure (CIF):
```
data_CuH5
_chemical_formula_sum 'Cu2 H10'
_cell_length_a 2.218
_cell_length_b 13.803
_cell_length_c 3.129
_cell_angle_alpha 90.00
_cell_angle_beta 90.00
_cell_angle_gamma 90.00
_space_group_name_H-M_alt 'C m m m'
_space_group_IT_number 65
_space_group_name_Hall '-C 2 2'
loop_
_atom_site_label
_atom_site_type_symbol
_atom_site_fract_x
_atom_site_fract_y
_atom_site_fract_z
Cu1 Cu 0.000 0.000 0.000
H1 H 0.000 0.250 0.500
H2 H 0.000 0.411 0.000
H3 H 0.000 0.500 0.500
```

calculated total energy = -3.00 eV/atom



(3)
This record from Alexandria via LeMat-Bulk describes crystalline HfCu2H at its relaxed geometry. The functional is PBE.

Structure (CIF):
```
data_HfCu2H
_chemical_formula_sum 'Hf4 Cu8 H4'
_cell_length_a 5.237
_cell_length_b 5.237
_cell_length_c 7.387
_cell_angle_alpha 90.00
_cell_angle_beta 90.00
_cell_angle_gamma 90.00
_space_group_name_H-M_alt 'I -4 2 d'
_space_group_IT_number 122
_space_group_name_Hall 'I -4 2bw'
loop_
_atom_site_label
_atom_site_type_symbol
_atom_site_fract_x
_atom_site_fract_y
_atom_site_fract_z
Hf1 Hf 0.000 0.000 0.000
Cu1 Cu 0.024 0.250 0.625
H1 H 0.000 0.000 0.500
```

excess energy over the best structure of this formula in the dataset = 0.00 eV/f.u.



(4)
This record from Alexandria via LeMat-Bulk describes crystalline Hf2CuH3 at its relaxed geometry. The functional is PBE.

Structure (CIF):
```
data_Hf2CuH3
_chemical_formula_sum 'Hf8 Cu4 H12'
_cell_length_a 10.678
_cell_length_b 3.216
_cell_length_c 8.001
_cell_angle_alpha 90.00
_cell_angle_beta 112.69
_cell_angle_gamma 90.00
_space_group_name_H-M_alt 'C 1 2/m 1'
_space_group_IT_number 12
loop_
_space_group_symop_operation_xyz
'x,y,z'
'-x,-y,-z'
'-x,y,-z'
'x,-y,z'
'x+1/2,y+1/2,z'
'-x+1/2,-y+1/2,-z'
'-x+1/2,y+1/2,-z'
'x+1/2,-y+1/2,z'
loop_
_atom_site_label
_atom_site_type_symbol
_atom_site_fract_x
_atom_site_fract_y
_atom_site_fract_z
Hf1 Hf 0.011 0.000 0.193
Hf2 Hf 0.164 0.500 0.607
Cu1 Cu 0.181 0.500 0.066
H1 H 0.010 0.500 0.349
H2 H 0.156 0.000 0.747
H3 H 0.166 0.000 0.448
```

calculated total energy = -6.02 eV/atom



Copy entry 4 word for word.
This record from Alexandria via LeMat-Bulk describes crystalline Hf2CuH3 at its relaxed geometry. The functional is PBE.

Structure (CIF):
```
data_Hf2CuH3
_chemical_formula_sum 'Hf8 Cu4 H12'
_cell_length_a 10.678
_cell_length_b 3.216
_cell_length_c 8.001
_cell_angle_alpha 90.00
_cell_angle_beta 112.69
_cell_angle_gamma 90.00
_space_group_name_H-M_alt 'C 1 2/m 1'
_space_group_IT_number 12
loop_
_space_group_symop_operation_xyz
'x,y,z'
'-x,-y,-z'
'-x,y,-z'
'x,-y,z'
'x+1/2,y+1/2,z'
'-x+1/2,-y+1/2,-z'
'-x+1/2,y+1/2,-z'
'x+1/2,-y+1/2,z'
loop_
_atom_site_label
_atom_site_type_symbol
_atom_site_fract_x
_atom_site_fract_y
_atom_site_fract_z
Hf1 Hf 0.011 0.000 0.193
Hf2 Hf 0.164 0.500 0.607
Cu1 Cu 0.181 0.500 0.066
H1 H 0.010 0.500 0.349
H2 H 0.156 0.000 0.747
H3 H 0.166 0.000 0.448
```

calculated total energy = -6.02 eV/atom